Below is a relaxed SbPd4Pb3 crystal, with properties calculated at the PBE-GGA level.

Summary:
- density of states at the Fermi level (states/eV/atom) = 0.393
- raw total energy (eV per atom) = -4.678
- spin magnetization (μB per atom) = 0.000

Cell lengths 5.8470, 10.1186, 5.9918 Å; angles 90.00, 90.00, 90.00 degrees
Space group Imm2 (No. 44)
Asymmetric unit:
Sb  0.0000  0.0000  0.0000 [2 per cell]
Pd  0.0000  0.2641  0.9577 [4 per cell]
Pd  0.2382  0.5000  0.1425 [4 per cell]
Pb  0.0000  0.2132  0.4371 [4 per cell]
Pb  0.0000  0.5000  0.7072 [2 per cell]


Below is a relaxed KVS2 crystal, with properties calculated at the PBE-GGA level.

Summary:
- density of states at the Fermi level (states/eV/atom) = 0.418
- raw total energy (eV per atom) = -5.601
- spin magnetization (μB per atom) = 0.500

Cell lengths 6.8884, 6.8884, 9.0148 Å; angles 90.00, 90.00, 90.00 degrees
Space group I-42d (No. 122)
Asymmetric unit:
K  0.0000  0.0000  0.0000 [4 per cell]
V  0.0000  0.0000  0.5000 [4 per cell]
S  0.1436  0.2500  0.6250 [8 per cell]


Below is a relaxed NdLuInGa crystal, with properties calculated at the PBE-GGA level.

Summary:
- density of states at the Fermi level (states/eV/atom) = 0.246
- raw total energy (eV per atom) = -4.233
- DFT formation energy (eV per atom) = -0.47
- spin magnetization (μB per atom) = 0.000

Cell lengths 7.4024, 7.4024, 7.4024 Å; angles 90.00, 90.00, 90.00 degrees
Space group F-43m (No. 216)
Asymmetric unit:
Nd  0.0000  0.0000  0.0000 [4 per cell]
Lu  0.0000  0.0000  0.5000 [4 per cell]
In  0.2500  0.2500  0.7500 [4 per cell]
Ga  0.2500  0.2500  0.2500 [4 per cell]


Below is a relaxed RePPt crystal, with properties calculated at the PBE-GGA level.

Summary:
- density of states at the Fermi level (states/eV/atom) = 0.767
- energy above the most stable polymorph in this dataset (meV/atom) = 111
- raw total energy (eV per atom) = -7.973
- DFT formation energy (eV per atom) = -0.01
- spin magnetization (μB per atom) = 0.000

Cell lengths 4.0160, 4.0160, 3.2294 Å; angles 90.00, 90.00, 120.00 degrees
Space group P-6m2 (No. 187)
Asymmetric unit:
Re  0.0000  0.0000  0.0000 [1 per cell]
P  0.6667  0.3333  0.0000 [1 per cell]
Pt  0.3333  0.6667  0.5000 [1 per cell]


Below is a relaxed Ac4TlI5 crystal, with properties calculated at the PBE-GGA level.

Summary:
- density of states at the Fermi level (states/eV/atom) = 0.516
- raw total energy (eV per atom) = -3.752
- spin magnetization (μB per atom) = 0.000

Cell lengths 20.4996, 4.7374, 9.6444 Å; angles 90.00, 100.91, 90.00 degrees
Space group C2/m (No. 12)
Asymmetric unit:
Ac  0.0023  0.0000  0.2306 [4 per cell]
Ac  0.1601  0.5000  0.0656 [4 per cell]
Tl  0.0000  0.5000  0.0000 [2 per cell]
I  0.0000  0.5000  0.5000 [2 per cell]
I  0.1693  0.0000  0.8128 [4 per cell]
I  0.1705  0.0000  0.3221 [4 per cell]


Below is a relaxed LiSbRh2 crystal, with properties calculated at the PBE-GGA level.

Summary:
- density of states at the Fermi level (states/eV/atom) = 1.112
- raw total energy (eV per atom) = -5.361
- spin magnetization (μB per atom) = 0.000

Cell lengths 2.9301, 4.3451, 4.9764 Å; angles 90.00, 92.16, 90.00 degrees
Space group P2/m (No. 10)
Asymmetric unit:
Li  0.0000  0.0000  0.0000 [1 per cell]
Sb  0.5000  0.0000  0.5000 [1 per cell]
Rh  0.2558  0.5000  0.7602 [2 per cell]


Below is a relaxed Pm2ReC3 crystal, with properties calculated at the PBE-GGA level.

Summary:
- density of states at the Fermi level (states/eV/atom) = 0.291
- energy above the most stable polymorph in this dataset (meV/atom) = 0
- raw total energy (eV per atom) = -8.400
- DFT formation energy (eV per atom) = -0.13
- spin magnetization (μB per atom) = 0.000

Cell lengths 5.7890, 11.1268, 12.5517 Å; angles 90.00, 90.00, 90.00 degrees
Space group Cmce (No. 64)
Asymmetric unit:
Pm  0.0000  0.0507  0.1415 [8 per cell]
Pm  0.0000  0.1430  0.5827 [8 per cell]
Re  0.0000  0.2447  0.3431 [8 per cell]
C  0.0000  0.0761  0.3732 [8 per cell]
C  0.0000  0.1526  0.9675 [8 per cell]
C  0.2500  0.2127  0.7500 [8 per cell]


Below is a relaxed NaCaGa crystal, with properties calculated at the PBE-GGA level.

Summary:
- density of states at the Fermi level (states/eV/atom) = 0.518
- energy above the most stable polymorph in this dataset (meV/atom) = 35
- raw total energy (eV per atom) = -2.342
- DFT formation energy (eV per atom) = -0.23
- spin magnetization (μB per atom) = 0.000

Cell lengths 7.3558, 4.2484, 12.9399 Å; angles 90.00, 90.07, 90.00 degrees
Space group C2/m (No. 12)
Asymmetric unit:
Na  0.1672  0.0000  0.3935 [4 per cell]
Ca  0.0005  0.5000  0.1596 [4 per cell]
Ga  0.1666  0.0000  0.0170 [4 per cell]


Below is a relaxed TcSbRu2 crystal, with properties calculated at the PBE-GGA level.

Summary:
- density of states at the Fermi level (states/eV/atom) = 1.014
- raw total energy (eV per atom) = -8.051
- spin magnetization (μB per atom) = 0.000

Cell lengths 2.9241, 3.8277, 5.6007 Å; angles 90.00, 90.00, 90.00 degrees
Space group Pmmm (No. 47)
Asymmetric unit:
Tc  0.0000  0.0000  0.0000 [1 per cell]
Sb  0.0000  0.0000  0.5000 [1 per cell]
Ru  0.5000  0.5000  0.2369 [2 per cell]


Below is a relaxed LiReOs crystal, with properties calculated at the PBE-GGA level.

Summary:
- density of states at the Fermi level (states/eV/atom) = 0.349
- energy above the most stable polymorph in this dataset (meV/atom) = 21
- raw total energy (eV per atom) = -8.341
- DFT formation energy (eV per atom) = 0.19
- spin magnetization (μB per atom) = 0.000

Cell lengths 3.0286, 3.0286, 8.7180 Å; angles 90.00, 90.00, 90.00 degrees
Space group I4mm (No. 107)
Asymmetric unit:
Li  0.0000  0.0000  0.0000 [2 per cell]
Re  0.0000  0.0000  0.3286 [2 per cell]
Os  0.0000  0.0000  0.6645 [2 per cell]


Below is a relaxed La3CoC2N6 crystal, with properties calculated at the PBE-GGA level.

Summary:
- density of states at the Fermi level (states/eV/atom) = 0.193
- raw total energy (eV per atom) = -8.139
- spin magnetization (μB per atom) = 0.167

Cell lengths 5.3706, 5.3706, 6.4728 Å; angles 90.00, 90.00, 120.00 degrees
Space group P-3m1 (No. 164)
Asymmetric unit:
La  0.0000  0.0000  0.0000 [1 per cell]
La  0.3333  0.6667  0.6646 [2 per cell]
Co  0.0000  0.0000  0.5000 [1 per cell]
C  0.3333  0.6667  0.2648 [2 per cell]
N  0.1858  0.3717  0.2746 [6 per cell]


Below is a relaxed Na2Pa2PN6 crystal, with properties calculated at the PBE-GGA level.

Summary:
- density of states at the Fermi level (states/eV/atom) = 0.462
- raw total energy (eV per atom) = -7.527
- spin magnetization (μB per atom) = 0.070

Cell lengths 5.6388, 11.1967, 5.8799 Å; angles 90.00, 99.63, 90.00 degrees
Space group C2/m (No. 12)
Asymmetric unit:
Na  0.0000  0.1529  0.0000 [4 per cell]
Pa  0.0000  0.3311  0.5000 [4 per cell]
P  0.0000  0.0000  0.5000 [2 per cell]
N  0.1879  0.0000  0.3321 [4 per cell]
N  0.2405  0.1887  0.7009 [8 per cell]